Ba2PaTlS6 | Alexandria | PBE-GGA | relaxed; M_tot = 0.000 μB/cell; calculated total energy = -5.4935 eV/atom; formation energy without anion corrections = -1446 meV/atom
1.0
7.2110 0.0000 -0.0660
0.0000 7.5307 0.0000
-0.0270 0.0000 10.3252
Tl S Pa Ba
2 12 2 4
direct
0.0000 0.5000 0.0000
0.5000 0.0000 0.5000
0.1927 0.2078 0.4539
0.4106 0.9821 0.7533
0.7051 0.3053 0.5437
0.8073 0.7922 0.5461
0.7949 0.8053 0.9563
0.3073 0.7078 0.0461
0.0894 0.4821 0.7467
0.2949 0.6947 0.4563
0.6927 0.2922 0.9539
0.5894 0.0179 0.2467
0.2051 0.1947 0.0437
0.9106 0.5179 0.2533
0.0000 0.5000 0.5000
0.5000 0.0000 0.0000
0.4791 0.4308 0.2527
0.0209 0.9308 0.2473
0.5209 0.5692 0.7473
0.9791 0.0692 0.7527



CsMoAs2Br | Alexandria | PBE-GGA | relaxed; E above lowest polymorph = 2059 meV per atom; M_tot = 2.372 μB/cell; calculated total energy = -2.7072 eV/atom; formation energy without anion corrections = 1824 meV/atom
1.0
-5.3606 1.6079 -2.1408
-2.5559 -4.5000 3.0202
-0.8393 3.8060 4.9604
Mo As Cs Br
1 2 1 1
direct
0.5000 0.5000 0.5000
0.0000 0.5000 0.0000
0.5000 0.0000 0.0000
0.0000 0.0000 0.0000
0.0000 0.0000 0.5000



Ac2TmMg | Alexandria | PBE-GGA | relaxed; E above lowest polymorph = 2 meV per atom; M_tot = 0.000 μB/cell; calculated total energy = -3.5600 eV/atom; E_form = 0.0107 eV/atom
1.0
-0.4339 -3.1844 2.4103
3.9929 -3.0260 -3.2792
4.4149 2.0416 3.4919
Ac Mg Tm
2 1 1
direct
0.0000 0.0000 0.5000
0.0000 0.5000 0.0000
0.5000 0.0000 0.0000
0.5000 0.5000 0.5000



DyYTm2N4 | Alexandria | PBE-GGA | relaxed; M_tot = 0.000 μB/cell; calculated total energy = -8.4243 eV/atom; formation energy without anion corrections = -1761 meV/atom
1.0
3.4399 0.0000 0.0000
0.0000 5.9554 0.1055
0.0000 -2.0828 5.5813
Tm Dy N Y
2 1 4 1
direct
0.0000 0.5000 0.5000
0.5000 0.0000 0.5000
0.0000 0.0000 0.0000
0.0000 0.2480 0.7452
0.5000 0.7488 0.7455
0.0000 0.7520 0.2548
0.5000 0.2512 0.2545
0.5000 0.5000 0.0000